Computed, not measured: an optimized crystal structure of La2TlBr at the PBE-GGA level of DFT.

Distance to the lowest polymorph of the same formula in meV/atom: 14
Magnetic moment in μB per cell: 0.00
Formation energy from raw total energies in eV/atom: -0.848
Electronic total energy in eV/atom: -4.3216

a = 7.9225 Å, b = 7.7520 Å, c = 10.1376 Å
α = 104.33°, β = 105.00°, γ = 110.20°
Last column: nearest neighbours and their distance in Å.
Element x y z (fractional)
La: 0.9345 0.6825 0.8745  3 Br 3.19-3.20, 3 Tl 3.21-3.23
La: 0.5600 0.8080 0.1255  3 Br 3.19-3.20, 3 Tl 3.21-3.23
La: 0.6884 0.4394 0.3757  3 Br 3.17-3.21, 3 Tl 3.19-3.22
La: 0.1873 0.9364 0.3757  3 Br 3.17-3.21, 3 Tl 3.19-3.22
La: 0.4400 0.1920 0.8745  3 Br 3.19-3.20, 3 Tl 3.21-3.23
La: 0.0655 0.3175 0.1255  3 Br 3.19-3.20, 3 Tl 3.21-3.23
La: 0.3116 0.5606 0.6243  3 Br 3.17-3.21, 3 Tl 3.19-3.22
La: 0.8127 0.0636 0.6243  3 Br 3.17-3.21, 3 Tl 3.19-3.22
Br: 0.5607 0.3107 0.6214  6 La 3.17-3.21
Br: 0.8138 0.5638 0.1277  6 La 3.17-3.20
Br: 0.1862 0.4362 0.8723  6 La 3.17-3.20
Br: 0.4393 0.6893 0.3786  6 La 3.17-3.21
Tl: 0.9369 0.1869 0.3739  6 La 3.19-3.22
Tl: 0.3135 0.0635 0.1270  6 La 3.19-3.23
Tl: 0.0631 0.8131 0.6261  6 La 3.19-3.22
Tl: 0.6865 0.9365 0.8730  6 La 3.19-3.23

Computed, not measured: an optimized crystal structure of La4Tl2Br3 at the PBE-GGA level of DFT.

Magnetic moment in μB per cell: 0.00
Formation energy from raw total energies in eV/atom: -1.045
Electronic total energy in eV/atom: -4.3189

a = 4.4494 Å, b = 4.4494 Å, c = 18.5463 Å
α = 90.05°, β = 89.95°, γ = 120.00°
Last column: nearest neighbours and their distance in Å.
Element x y z (fractional)
Tl: 0.3327 0.6673 0.2036  6 La 3.25-3.26
Tl: 0.6673 0.3327 0.7964  6 La 3.25-3.26
La: 0.0008 0.9992 0.6894  3 Br 3.10, 3 Tl 3.25
La: 0.6663 0.3337 0.0955  3 Br 3.12, 3 Tl 3.26
La: 0.3337 0.6663 0.9045  3 Br 3.12, 3 Tl 3.26
La: 0.9992 0.0008 0.3106  3 Br 3.10, 3 Tl 3.25
Br: 0.3344 0.6656 0.5960  3 La 3.10
Br: 0.6656 0.3344 0.4040  3 La 3.10
Br: 0.0000 0.0000 0.0000  6 La 3.12

Computed, not measured: an optimized crystal structure of La2TlBr at the PBE-GGA level of DFT.

Distance to the lowest polymorph of the same formula in meV/atom: 0
Magnetic moment in μB per cell: 0.00
Formation energy from raw total energies in eV/atom: -0.862
Electronic total energy in eV/atom: -4.3353

a = 4.5090 Å, b = 4.5494 Å, c = 6.3741 Å
α = 90.00°, β = 90.00°, γ = 90.00°
Last column: nearest neighbours and their distance in Å.
Element x y z (fractional)
Tl: 0.0000 0.0000 0.3747  6 La 3.19-3.20
La: 0.0000 0.0000 0.8748  2 Tl 3.19, 4 Br 3.20
La: 0.5000 0.5000 0.3752  2 Br 3.19, 4 Tl 3.20
Br: 0.5000 0.5000 0.8753  6 La 3.19-3.20

Computed, not measured: an optimized crystal structure of LaTl3Br at the PBE-GGA level of DFT.

Distance to the lowest polymorph of the same formula in meV/atom: 225
Magnetic moment in μB per cell: 0.00
Formation energy from raw total energies in eV/atom: 0.331
Electronic total energy in eV/atom: -2.4090

a = 6.3453 Å, b = 6.3453 Å, c = 6.3453 Å
α = 90.00°, β = 90.00°, γ = 90.00°
Last column: nearest neighbours and their distance in Å.
Element x y z (fractional)
Br: 0.5000 0.5000 0.5000  12 Tl 4.49
Tl: 0.0000 0.5000 0.0000  2 La 3.17
Tl: 0.0000 0.0000 0.5000  2 La 3.17
Tl: 0.5000 0.0000 0.0000  2 La 3.17
La: 0.0000 0.0000 0.0000  6 Tl 3.17

Computed, not measured: an optimized crystal structure of LaTlBr2 at the PBE-GGA level of DFT.

Distance to the lowest polymorph of the same formula in meV/atom: 104
Magnetic moment in μB per cell: 0.00
Formation energy from raw total energies in eV/atom: -1.081
Electronic total energy in eV/atom: -3.7406

a = 7.1480 Å, b = 7.1480 Å, c = 7.1480 Å
α = 147.09°, β = 140.80°, γ = 52.09°
Last column: nearest neighbours and their distance in Å.
Element x y z (fractional)
La: 0.5326 0.5326 0.0000  6 Br 3.06-3.19
Br: 0.9879 0.9879 0.0000  4 La 3.19
Br: 0.7110 0.2110 0.5000  2 La 3.06, 4 Tl 3.22
Tl: 0.2684 0.7684 0.5000  4 Br 3.22

Computed, not measured: an optimized crystal structure of LaTlBr at the PBE-GGA level of DFT.

Distance to the lowest polymorph of the same formula in meV/atom: 0
Magnetic moment in μB per cell: 0.00
Formation energy from raw total energies in eV/atom: -1.084
Electronic total energy in eV/atom: -4.0731

a = 4.7152 Å, b = 4.7152 Å, c = 11.2197 Å
α = 87.96°, β = 87.96°, γ = 60.06°
Last column: nearest neighbours and their distance in Å.
Element x y z (fractional)
Tl: 0.3363 0.3363 0.4480  3 Tl 2.96, 3 La 3.20
Tl: 0.6637 0.6637 0.5520  3 Tl 2.96, 3 La 3.20
Br: 0.3143 0.3143 0.8452  3 La 3.16
Br: 0.6857 0.6857 0.1548  3 La 3.16
La: 0.9886 0.9886 0.7019  3 Br 3.16, 3 Tl 3.20
La: 0.0114 0.0114 0.2981  3 Br 3.16, 3 Tl 3.20

Computed, not measured: an optimized crystal structure of La5Tl4Br at the PBE-GGA level of DFT.

Magnetic moment in μB per cell: 0.00
Formation energy from raw total energies in eV/atom: -0.579
Electronic total energy in eV/atom: -4.1566

a = 3.7053 Å, b = 3.7053 Å, c = 22.2778 Å
α = 90.00°, β = 90.00°, γ = 90.00°
Last column: nearest neighbours and their distance in Å.
Element x y z (fractional)
La: 0.5000 0.5000 0.2971  8 Tl 3.46-3.48, 4 La 3.71
La: 0.5000 0.5000 0.0992  4 Tl 3.37, 4 Br 3.43, 4 La 3.71
La: 0.5000 0.5000 0.5000  8 Tl 3.46, 4 La 3.71
La: 0.5000 0.5000 0.9008  4 Tl 3.37, 4 Br 3.43, 4 La 3.71
La: 0.5000 0.5000 0.7029  8 Tl 3.46-3.48, 4 La 3.71
Tl: 0.0000 0.0000 0.1943  8 La 3.37-3.48, 4 Tl 3.71
Tl: 0.0000 0.0000 0.6017  8 La 3.46, 4 Tl 3.71
Tl: 0.0000 0.0000 0.8057  8 La 3.37-3.48, 4 Tl 3.71
Tl: 0.0000 0.0000 0.3983  8 La 3.46, 4 Tl 3.71
Br: 0.0000 0.0000 0.0000  8 La 3.43, 4 Br 3.71

Computed, not measured: an optimized crystal structure of LaTl3Br at the PBE-GGA level of DFT.

Distance to the lowest polymorph of the same formula in meV/atom: 0
Magnetic moment in μB per cell: 0.00
Formation energy from raw total energies in eV/atom: 0.106
Electronic total energy in eV/atom: -2.6338

a = 5.8024 Å, b = 5.8024 Å, c = 5.8024 Å
α = 90.00°, β = 90.00°, γ = 90.00°
Last column: nearest neighbours and their distance in Å.
Element x y z (fractional)
Tl: 0.0000 0.5000 0.0000  2 Br 2.90
Tl: 0.0000 0.0000 0.5000  2 Br 2.90
Tl: 0.5000 0.0000 0.0000  2 Br 2.90
Br: 0.0000 0.0000 0.0000  6 Tl 2.90
La: 0.5000 0.5000 0.5000  12 Tl 4.10

Computed, not measured: an optimized crystal structure of LaTlBr2 at the PBE-GGA level of DFT.

Distance to the lowest polymorph of the same formula in meV/atom: 146
Magnetic moment in μB per cell: 0.00
Formation energy from raw total energies in eV/atom: -1.039
Electronic total energy in eV/atom: -3.6991

a = 4.9878 Å, b = 4.0512 Å, c = 6.5492 Å
α = 86.11°, β = 90.00°, γ = 90.00°
Last column: nearest neighbours and their distance in Å.
Element x y z (fractional)
Br: 0.0000 0.0641 0.0121  2 La 3.06, 2 Tl 3.33
Br: 0.0000 0.4359 0.4879  2 La 3.06, 2 Tl 3.33
La: 0.5000 0.2500 0.2500  4 Br 3.06
Tl: 0.5000 0.7500 0.7500  4 Br 3.33

Computed, not measured: an optimized crystal structure of La2TlBr at the PBE-GGA level of DFT.

Distance to the lowest polymorph of the same formula in meV/atom: 310
Magnetic moment in μB per cell: 0.00
Formation energy from raw total energies in eV/atom: -0.552
Electronic total energy in eV/atom: -4.0251

a = 11.1903 Å, b = 11.1903 Å, c = 11.1903 Å
α = 19.87°, β = 19.87°, γ = 19.87°
Last column: nearest neighbours and their distance in Å.
Element x y z (fractional)
La: 0.2527 0.2527 0.2527  3 Tl 3.50, 9 La 3.63-3.86
La: 0.0064 0.0064 0.0064  3 Br 3.07
Tl: 0.5038 0.5038 0.5038  3 La 3.50, 6 Tl 3.86
Br: 0.7370 0.7370 0.7370  3 La 3.07

Computed, not measured: an optimized crystal structure of LaTlBr2 at the PBE-GGA level of DFT.

Distance to the lowest polymorph of the same formula in meV/atom: 14
Magnetic moment in μB per cell: 0.36
Formation energy from raw total energies in eV/atom: -1.171
Electronic total energy in eV/atom: -3.8308

a = 10.7909 Å, b = 10.7909 Å, c = 10.7909 Å
α = 20.65°, β = 20.65°, γ = 20.65°
Last column: nearest neighbours and their distance in Å.
Element x y z (fractional)
La: 0.2500 0.2500 0.2500  6 Br 3.07
Tl: 0.7500 0.7500 0.7500  6 Tl 3.87, 6 Br 3.88
Br: 0.9831 0.9831 0.9831  3 La 3.07
Br: 0.5169 0.5169 0.5169  3 La 3.07

Computed, not measured: an optimized crystal structure of LaTlBr2 at the PBE-GGA level of DFT.

Distance to the lowest polymorph of the same formula in meV/atom: 143
Magnetic moment in μB per cell: 0.00
Formation energy from raw total energies in eV/atom: -1.042
Electronic total energy in eV/atom: -3.7020

a = 4.1299 Å, b = 5.9592 Å, c = 4.8116 Å
α = 90.00°, β = 90.00°, γ = 90.00°
Last column: nearest neighbours and their distance in Å.
Element x y z (fractional)
Br: 0.0000 0.0000 0.0000  4 La 3.17
Br: 0.5000 0.5000 0.0000  4 Tl 3.17
La: 0.5000 0.0000 0.5000  4 Br 3.17
Tl: 0.0000 0.5000 0.5000  4 Br 3.17

Number 1: mass density 7.1 g/cm3. Number 2: mass density 6.3 g/cm3. Number 3: mass density 7.1 g/cm3. Number 4: mass density 5.4 g/cm3. Number 5: mass density 6.7 g/cm3. Number 6: mass density 6.5 g/cm3. Number 7: mass density 8.6 g/cm3. Number 8: mass density 7.1 g/cm3. Number 9: mass density 6.3 g/cm3. Number 10: mass density 6.6 g/cm3. Number 11: mass density 6.1 g/cm3. Number 12: mass density 7.1 g/cm3.